Entry 1:
4
Lattice="-5.017 -0.527 -0.067 0.253 -1.869 -4.236 0.443 -4.468 1.997" Properties=species:S:1:pos:R:3 comment="PrInSnBi, relaxed, DFT PBE-GGA" e_form_ev_per_fu=-1.9 pbc="T T T"
In -2.382 -1.198 -2.152
Pr 0.348 -3.168 -1.120
Sn 0.000 0.000 0.000
Bi -2.287 -2.498 0.965


Entry 2:
12
Lattice="-2.596 3.556 -1.154 0.522 -2.495 -8.864 -6.800 -6.638 3.814" Properties=species:S:1:pos:R:3 comment="Pr6InBi2Te3, relaxed, DFT PBE-GGA" formation_energy_uncorrected_ev_per_atom=-1.12 pbc="T T T"
Te -2.295 -3.718 -6.295
Te -1.037 0.530 -5.009
Te -6.578 -1.860 0.091
Pr -4.967 -5.559 -5.959
Pr -3.706 -1.302 -4.653
Pr -3.906 -0.018 -0.245
Pr -5.168 -4.275 -1.551
Pr -9.256 -3.690 0.475
Pr 0.383 -1.888 -6.679
Bi -6.354 -3.129 -4.325
Bi -2.520 -2.449 -1.879
In -1.298 1.778 -0.577


Entry 3:
10
Lattice="-3.810 5.890 -4.161 -4.767 -5.589 -3.546 -2.076 0.298 2.322" Properties=species:S:1:pos:R:3 comment="In2BiPt2, relaxed, DFT PBE-GGA" e_form_ev_per_fu=-1.5 polymorph_energy_ev_per_fu=0.000 pbc="T T T"
Pt -6.339 1.353 -5.841
Pt -5.370 -2.689 -4.456
Pt -2.238 -1.052 -1.866
Pt -3.207 2.991 -3.251
Bi -4.289 0.151 -3.854
Bi 0.000 0.000 0.000
In -5.996 3.202 -3.663
In -3.081 1.440 -0.831
In -4.657 -2.602 -1.722
In -7.573 -0.841 -4.554


Entry 4:
16
Lattice="-3.296 0.661 -4.441 -1.135 -7.263 -0.239 -6.842 0.898 5.214" Properties=species:S:1:pos:R:3 comment="InBiPt2, relaxed, DFT PBE-GGA" e_form_ev_per_fu=-1.6 pbc="T T T"
Bi -7.812 -5.701 3.203
Bi -9.085 -2.970 1.061
Bi -2.188 -2.733 -0.527
Bi -3.461 -0.003 -2.668
In -5.712 -3.408 -1.506
In -6.831 0.445 -0.101
In -4.441 -6.149 0.635
In -5.560 -2.296 2.040
Pt -6.712 -4.564 0.810
Pt -3.399 -4.998 -1.714
Pt -5.047 -4.669 -3.934
Pt -5.064 -4.894 3.030
Pt -7.874 -0.706 2.248
Pt -4.561 -1.140 -0.275
Pt -6.226 -1.035 4.469
Pt -6.209 -0.810 -2.496


Entry 5:
6
Lattice="-2.756 -4.262 1.961 2.424 -4.854 0.405 1.240 -2.022 4.897" Properties=species:S:1:pos:R:3 comment="InBiPt4, relaxed, DFT PBE-GGA" e_form_ev_per_fu=-1.1 pbc="T T T"
In 0.000 0.000 0.000
Pt 1.948 -4.829 3.558
Pt 0.568 -6.964 4.541
Pt -0.646 -4.532 4.338
Pt -0.053 -5.951 2.088
Bi 0.227 -2.784 1.816


Entry 6:
5
Lattice="5.102 0.000 0.000 0.000 5.102 0.000 2.551 2.551 5.001" Properties=species:S:1:pos:R:3 comment="InBi2Pt2, relaxed, DFT PBE-GGA" e_form_ev_per_fu=-0.2 polymorph_energy_ev_per_fu=1.319 pbc="T T T"
In 0.000 0.000 0.000
Pt 2.551 2.551 1.305
Pt 5.102 5.102 3.696
Bi 2.551 5.102 2.500
Bi 5.102 2.551 2.500


Entry 7:
8
Lattice="6.635 -0.587 -0.417 -3.779 5.485 0.417 -3.088 -1.481 5.728" Properties=species:S:1:pos:R:3 comment="InBi3Pt4, relaxed, DFT PBE-GGA" e_form_ev_per_fu=-0.8 pbc="T T T"
Pt 1.610 0.707 1.338
Pt -4.488 2.617 5.768
Pt -0.914 0.533 2.570
Pt -3.601 3.736 1.755
Bi 0.265 3.127 1.992
Bi 0.299 -0.174 4.927
Bi 3.178 -1.854 4.760
In -3.030 1.767 3.677


Entry 8:
10
Lattice="4.225 0.000 0.000 0.000 6.030 0.213 0.000 0.906 9.835" Properties=species:S:1:pos:R:3 comment="InBi2Pt2, relaxed, DFT PBE-GGA" e_form_ev_per_fu=-1.5 polymorph_energy_ev_per_fu=0.000 pbc="T T T"
Pt 3.169 4.163 0.241
Pt 3.169 4.531 3.499
Pt 1.056 2.405 6.549
Pt 1.056 2.773 9.807
Bi 3.169 0.665 1.387
Bi 3.169 1.994 4.745
Bi 1.056 4.943 5.302
Bi 1.056 6.272 8.661
In 3.169 3.271 8.025
In 1.056 3.666 2.023


Entry 9:
17
Lattice="-0.527 7.194 4.804 -3.379 1.506 -7.837 -4.404 -6.385 3.866" Properties=species:S:1:pos:R:3 comment="InBi12Pt4, relaxed, DFT PBE-GGA" e_form_ev_per_fu=-2.9 pbc="T T T"
Pt -4.155 1.158 0.416
Pt -0.263 3.597 2.402
Pt -1.689 0.753 -3.919
Pt -2.202 -3.192 1.933
Bi -3.398 -1.516 0.026
Bi -2.276 1.642 2.444
Bi -3.814 5.001 -2.636
Bi -5.936 -3.107 -1.269
Bi -4.912 3.832 0.807
Bi -3.884 1.906 5.272
Bi -4.426 0.410 -4.439
Bi -2.541 2.164 -1.647
Bi -4.495 -2.686 3.469
Bi -2.373 5.423 2.102
Bi -6.034 0.674 -1.611
Bi -5.769 0.152 2.480
In 0.000 0.000 0.000


Entry 10:
10
Lattice="4.370 0.000 0.000 0.000 6.941 -1.573 -2.185 -2.530 8.948" Properties=species:S:1:pos:R:3 comment="InBi5Pt4, relaxed, DFT PBE-GGA" e_form_ev_per_fu=-2.1 pbc="T T T"
Bi 2.185 3.470 -0.786
Bi 0.000 4.447 2.073
Bi 0.000 0.924 2.321
Bi 2.185 3.487 5.054
Bi 2.185 -0.037 5.302
Pt 0.000 5.370 -1.049
Pt 2.185 5.925 1.012
Pt 2.185 -0.960 8.424
Pt 0.000 -1.515 6.363
In 2.185 0.000 0.000


Entry 11:
8
Lattice="-6.026 -1.090 1.584 0.363 -5.762 -2.583 -0.725 -6.070 5.695" Properties=species:S:1:pos:R:3 comment="InBi2Pt, relaxed, DFT PBE-GGA" e_form_ev_per_fu=0.3 pbc="T T T"
In -2.831 -3.426 -0.500
In -1.597 -7.629 1.306
Pt -4.791 -5.293 3.389
Pt 0.000 0.000 0.000
Bi -5.481 -10.830 3.270
Bi -4.197 -2.972 2.168
Bi -2.685 -6.840 4.023
Bi -0.413 -5.202 -0.070


Entry 12:
5
Lattice="-4.607 0.176 3.008 2.147 -3.663 3.503 2.114 4.105 2.997" Properties=species:S:1:pos:R:3 comment="InBi3Pt, relaxed, DFT PBE-GGA" e_form_ev_per_fu=1.5 polymorph_energy_ev_per_fu=0.000 pbc="T T T"
Pt 0.000 0.000 0.000
Bi 1.074 -1.832 1.752
Bi -2.303 0.088 1.504
Bi 1.057 2.053 1.498
In -0.173 0.309 4.754